[1]
The following is a DFT calculation (PBE) of a geometry-optimized Zr2GaSbPd2 structure.

Cell and atoms, written as POSCAR:
```
Zr2GaSbPd2
1.0
-3.725 6.677 1.031
-0.262 -1.957 -7.458
-1.801 -4.587 3.931
Pd Ga Zr Sb
4 2 4 2
Direct
0.879 0.629 0.004
0.625 0.875 0.504
0.125 0.375 0.496
0.371 0.121 0.996
0.250 0.750 0.500
0.000 0.000 0.000
0.245 0.755 0.000
0.495 0.505 0.500
0.755 0.245 0.000
0.005 0.995 0.500
0.750 0.250 0.500
0.500 0.500 0.000
```

Values from the calculation:
The crystal system is tetragonal. The volume is 250 Å³ per cell. For the total energy, the calculation gives -78.35 eV for the cell shown.

***

[2]
The following is a DFT calculation (PBE) of a geometry-optimized ScGaPd structure.

Cell and atoms, written as POSCAR:
```
ScGaPd
1.0
0.000 3.153 3.153
3.153 0.000 3.153
3.153 3.153 0.000
Ga Pd Sc
1 1 1
Direct
0.250 0.250 0.250
0.750 0.750 0.750
0.000 0.000 0.000
```

Values from the calculation:
The crystal system is cubic. The volume is 63 Å³ per cell. For the total energy, the calculation gives -15.22 eV for the cell shown.

***

Total magnetization for every record listed, in sequence, given in μB/cell: 0.00 0.00.